[1]
A relaxed structure of BeGe, computed with PBE.

Values from the calculation:
Magnetic moment in μB per formula unit: 0.0
Crystal system: tetragonal
Energy of formation from the pure elements in meV/atom: 333
E in eV/atom: -3.839
Energy above the most stable polymorph in this dataset in meV per atom: 123.1
SG: I4/m (87)

abc: 6.111 6.111 6.111
angles: 95.28 95.28 144.68
Element x y z (fractional)
Be  0.057  0.180  0.237
Be  0.180  0.943  0.123
Be  0.820  0.057  0.877
Be  0.943  0.820  0.763
Ge  0.170  0.660  0.831
Ge  0.340  0.170  0.510
Ge  0.660  0.830  0.490
Ge  0.830  0.340  0.169

=====

[2]
A relaxed structure of Be4Ge, computed with PBE.

Values from the calculation:
Magnetic moment in μB per formula unit: 0.0
Crystal system: cubic
Energy of formation from the pure elements in meV/atom: 1208
E in eV/atom: -2.697
SG: Pm-3m (221)

abc: 4.210 4.210 4.210
angles: 90.00 90.00 90.00
Element x y z (fractional)
Be  0.000  0.000  0.000
Be  0.000  0.500  0.500
Be  0.500  0.000  0.500
Be  0.500  0.500  0.000
Ge  0.500  0.500  0.500

=====

[3]
A relaxed structure of BeGe, computed with PBE.

Values from the calculation:
Magnetic moment in μB per formula unit: 0.0
Crystal system: monoclinic
Energy of formation from the pure elements in meV/atom: 335
E in eV/atom: -3.837
Energy above the most stable polymorph in this dataset in meV per atom: 125.5
SG: Cm (8)

abc: 4.022 4.022 2.518
angles: 107.19 107.19 53.42
Element x y z (fractional)
Be  0.000  0.000  0.000
Ge  0.661  0.661  0.646

=====

[4]
A relaxed structure of BeGe, computed with PBE.

Values from the calculation:
Magnetic moment in μB per formula unit: 0.0
Crystal system: hexagonal
Energy of formation from the pure elements in meV/atom: 332
E in eV/atom: -3.840
Energy above the most stable polymorph in this dataset in meV per atom: 122.0
SG: P6_3/mmc (194)

abc: 7.375 7.375 3.564
angles: 90.00 90.00 120.00
Element x y z (fractional)
Be  0.125  0.563  0.250
Be  0.437  0.563  0.250
Be  0.437  0.875  0.250
Be  0.563  0.125  0.750
Be  0.563  0.437  0.750
Be  0.875  0.437  0.750
Ge  0.177  0.354  0.750
Ge  0.177  0.823  0.750
Ge  0.354  0.177  0.250
Ge  0.646  0.823  0.750
Ge  0.823  0.177  0.250
Ge  0.823  0.646  0.250

=====

[5]
A relaxed structure of BeGe, computed with PBE.

Values from the calculation:
Magnetic moment in μB per formula unit: 0.0
Crystal system: monoclinic
Energy of formation from the pure elements in meV/atom: 254
E in eV/atom: -3.917
Energy above the most stable polymorph in this dataset in meV per atom: 44.7
SG: C2/m (12)

abc: 4.137 4.137 5.743
angles: 106.33 106.33 40.67
Element x y z (fractional)
Be  0.237  0.237  0.145
Be  0.763  0.763  0.855
Ge  0.013  0.013  0.735
Ge  0.987  0.987  0.265

=====

[6]
A relaxed structure of BeGe4, computed with PBE.

Values from the calculation:
Magnetic moment in μB per formula unit: 0.0
Crystal system: cubic
Energy of formation from the pure elements in meV/atom: 498
E in eV/atom: -3.941
SG: Pm-3m (221)

abc: 4.532 4.532 4.532
angles: 90.00 90.00 90.00
Element x y z (fractional)
Be  0.000  0.000  0.000
Ge  0.000  0.000  0.500
Ge  0.000  0.500  0.000
Ge  0.500  0.000  0.000
Ge  0.500  0.500  0.500

=====

[7]
A relaxed structure of BeGe, computed with PBE.

Values from the calculation:
Magnetic moment in μB per formula unit: 0.0
Crystal system: monoclinic
Energy of formation from the pure elements in meV/atom: 283
E in eV/atom: -3.888
Energy above the most stable polymorph in this dataset in meV per atom: 73.7
SG: C2 (5)

abc: 4.097 4.097 2.822
angles: 109.35 109.35 121.39
Element x y z (fractional)
Be  0.000  0.000  0.000
Ge  0.745  0.255  0.500

=====

[8]
A relaxed structure of Be2Ge, computed with PBE.

Values from the calculation:
Magnetic moment in μB per formula unit: 0.0
Crystal system: cubic
Energy of formation from the pure elements in meV/atom: 406
E in eV/atom: -3.617
SG: Fd-3m (227)

abc: 4.617 4.617 4.617
angles: 60.00 60.00 60.00
Element x y z (fractional)
Be  0.000  0.000  0.000
Be  0.000  0.000  0.500
Be  0.000  0.500  0.000
Be  0.500  0.000  0.000
Ge  0.375  0.375  0.375
Ge  0.625  0.625  0.625

=====

[9]
A relaxed structure of BeGe, computed with PBE.

Values from the calculation:
Magnetic moment in μB per formula unit: 0.0
Crystal system: cubic
Energy of formation from the pure elements in meV/atom: 574
E in eV/atom: -3.598
Energy above the most stable polymorph in this dataset in meV per atom: 364.5
SG: I-43m (217)

abc: 5.852 5.852 5.852
angles: 109.47 109.47 109.47
Element x y z (fractional)
Be  0.000  0.000  0.770
Be  0.000  0.770  0.000
Be  0.230  0.230  0.230
Be  0.770  0.000  0.000
Ge  0.000  0.000  0.408
Ge  0.000  0.408  0.000
Ge  0.408  0.000  0.000
Ge  0.592  0.592  0.592

=====

[10]
A relaxed structure of BeGe, computed with PBE.

Values from the calculation:
Magnetic moment in μB per formula unit: 0.0
Crystal system: triclinic
Energy of formation from the pure elements in meV/atom: 317
E in eV/atom: -3.855
Energy above the most stable polymorph in this dataset in meV per atom: 107.1
SG: P1 (1)

abc: 2.538 3.698 3.755
angles: 118.30 97.69 92.56
Element x y z (fractional)
Be  0.000  0.000  0.000
Ge  0.510  0.664  0.332

=====

[11]
A relaxed structure of BeGe, computed with PBE.

Values from the calculation:
Magnetic moment in μB per formula unit: 0.0
Crystal system: hexagonal
Energy of formation from the pure elements in meV/atom: 231
E in eV/atom: -3.941
Energy above the most stable polymorph in this dataset in meV per atom: 21.1
SG: P6_3/mmc (194)

abc: 3.802 3.802 4.392
angles: 90.00 90.00 120.00
Element x y z (fractional)
Be  0.000  0.000  0.000
Be  0.000  0.000  0.500
Ge  0.333  0.667  0.250
Ge  0.667  0.333  0.750

=====

[12]
A relaxed structure of BeGe, computed with PBE.

Values from the calculation:
Magnetic moment in μB per formula unit: 0.0
Crystal system: monoclinic
Energy of formation from the pure elements in meV/atom: 210
E in eV/atom: -3.962
Energy above the most stable polymorph in this dataset in meV per atom: 0.0
SG: P2_1/m (11)

abc: 4.003 4.089 4.185
angles: 90.00 118.61 90.00
Element x y z (fractional)
Be  0.068  0.250  0.144
Be  0.932  0.750  0.856
Ge  0.249  0.750  0.495
Ge  0.751  0.250  0.505